--- one ---
{"formula": "Th4SnOs2", "functional": "PBE", "state": "relaxed", "magnetic_moment_mub_per_atom": 0.000, "cell": [[2.204, 1.272, 12.024], [-2.204, 1.272, 12.024], [0.000, -2.545, 12.024]], "species": ["Th", "Th", "Th", "Th", "Sn", "Os", "Os"], "fractional_positions": [[0.112, 0.112, 0.112], [0.298, 0.298, 0.298], [0.702, 0.702, 0.702], [0.888, 0.888, 0.888], [0.500, 0.500, 0.500], [0.404, 0.404, 0.404], [0.596, 0.596, 0.596]]}

***

--- two ---
{"formula": "Th4SnOs2", "functional": "PBE", "state": "relaxed", "magnetic_moment_mub_per_atom": 0.000, "cell": [[2.184, -6.712, 0.000], [2.184, 6.712, 0.000], [0.000, 0.000, 13.802]], "species": ["Th", "Th", "Th", "Th", "Th", "Th", "Th", "Th", "Sn", "Sn", "Os", "Os", "Os", "Os"], "fractional_positions": [[0.000, 0.000, 0.000], [0.000, 0.000, 0.500], [0.265, 0.735, 0.612], [0.265, 0.735, 0.888], [0.431, 0.569, 0.250], [0.569, 0.431, 0.750], [0.735, 0.265, 0.112], [0.735, 0.265, 0.388], [0.109, 0.891, 0.250], [0.891, 0.109, 0.750], [0.375, 0.625, 0.058], [0.375, 0.625, 0.442], [0.625, 0.375, 0.558], [0.625, 0.375, 0.942]]}

***

Which of them is most stable, and which least? Most stable: two; least stable: one.

***

--- one ---
{"formula": "Ti2Sn2Os", "functional": "PBE", "state": "relaxed", "magnetic_moment_mub_per_atom": 0.000, "cell": [[6.567, 0.000, 0.000], [0.000, 6.567, 0.000], [0.000, 0.000, 4.529]], "species": ["Ti", "Ti", "Ti", "Ti", "Sn", "Sn", "Sn", "Sn", "Os", "Os"], "fractional_positions": [[0.151, 0.349, 0.000], [0.349, 0.849, 0.000], [0.651, 0.151, 0.000], [0.849, 0.651, 0.000], [0.168, 0.668, 0.500], [0.332, 0.168, 0.500], [0.668, 0.832, 0.500], [0.832, 0.332, 0.500], [0.000, 0.000, 0.000], [0.500, 0.500, 0.000]]}

***

--- two ---
{"formula": "Ti2Sn2Os", "functional": "PBE", "state": "relaxed", "magnetic_moment_mub_per_atom": 0.000, "cell": [[6.848, 0.000, 0.000], [0.000, 6.848, 0.000], [0.000, 0.000, 4.052]], "species": ["Ti", "Ti", "Ti", "Ti", "Sn", "Sn", "Sn", "Sn", "Os", "Os"], "fractional_positions": [[0.161, 0.339, 0.000], [0.339, 0.839, 0.000], [0.661, 0.161, 0.000], [0.839, 0.661, 0.000], [0.145, 0.645, 0.500], [0.355, 0.145, 0.500], [0.645, 0.855, 0.500], [0.855, 0.355, 0.500], [0.000, 0.000, 0.500], [0.500, 0.500, 0.500]]}

***

--- three ---
{"formula": "Ti2Sn2Os", "functional": "PBE", "state": "relaxed", "magnetic_moment_mub_per_atom": 0.000, "cell": [[-1.889, 1.889, 7.114], [1.889, -1.889, 7.114], [1.889, 1.889, -7.114]], "species": ["Ti", "Ti", "Sn", "Sn", "Os"], "fractional_positions": [[0.090, 0.090, 0.000], [0.910, 0.910, 0.000], [0.250, 0.750, 0.500], [0.750, 0.250, 0.500], [0.500, 0.500, 0.000]]}

***

Which of them is most stable, and which least? Most stable: two; least stable: three.

***

--- one ---
{"formula": "TiSn3Os", "functional": "PBE", "state": "relaxed", "magnetic_moment_mub_per_atom": 0.642, "cell": [[5.179, 0.000, 0.000], [0.000, 5.179, 0.000], [0.000, 0.000, 5.179]], "species": ["Ti", "Sn", "Sn", "Sn", "Os"], "fractional_positions": [[0.000, 0.000, 0.000], [0.000, 0.000, 0.500], [0.000, 0.500, 0.000], [0.500, 0.000, 0.000], [0.500, 0.500, 0.500]]}

***

--- two ---
{"formula": "TiSn3Os", "functional": "PBE", "state": "relaxed", "magnetic_moment_mub_per_atom": 0.064, "cell": [[5.121, 0.000, 0.000], [0.000, 5.121, 0.000], [0.000, 0.000, 5.121]], "species": ["Ti", "Sn", "Sn", "Sn", "Os"], "fractional_positions": [[0.000, 0.000, 0.000], [0.000, 0.500, 0.500], [0.500, 0.000, 0.500], [0.500, 0.500, 0.000], [0.500, 0.500, 0.500]]}

***

Which of them is most stable, and which least? Most stable: two; least stable: one.